SrCaAlZn: optimized geometry, GGA-PBE.

Output
D(E_F)   0.927 states/eV/atom
Calculated density   3.06 g/cm³
Space-group type   Amm2 (38)
Energy above the most stable polymorph in this dataset   0 meV per atom
Formation energy   -0.178 eV per atom
Total energy   -0.0865 Ha/atom

a = 4.4795 Å, b = 4.6469 Å, c = 6.1632 Å
α = 90.00°, β = 111.31°, γ = 90.00°
Fractional positions:
Ca 0.0358 0.0000 0.0717
Zn 0.4512 0.5000 0.9023
Al 0.3378 0.0000 0.6755
Sr 0.7448 0.5000 0.4897

CuTe2PtO8: optimized geometry, GGA-PBE.

Output
D(E_F)   0.651 states/eV/atom
Calculated density   6.73 g/cm³
Space-group type   I-4m2 (119)
Uncorrected formation energy   -0.314 eV per atom
Total energy   -0.1833 Ha/atom

a = 5.9077 Å, b = 5.9077 Å, c = 5.9077 Å
α = 110.85°, β = 110.85°, γ = 106.75°
Fractional positions:
Te 0.7500 0.2500 0.5000
Te 0.5000 0.5000 0.0000
O 0.2897 0.0906 0.8009
O 0.7699 0.0661 0.7037
O 0.9339 0.2301 0.2963
O 0.9339 0.6376 0.7037
O 0.9094 0.7103 0.1991
O 0.2897 0.4889 0.1991
O 0.3624 0.0661 0.2963
O 0.5111 0.7103 0.8009
Cu 0.0000 0.0000 0.0000
Pt 0.2500 0.7500 0.5000

TlIrSe2: optimized geometry, GGA-PBE.

Output
D(E_F)   0.716 states/eV/atom
Calculated density   11.58 g/cm³
Space-group type   I-4m2 (119)
Uncorrected formation energy   0.691 eV per atom
Energy above the most stable polymorph in this dataset   999 meV per atom
Total energy   -0.1418 Ha/atom

a = 5.1608 Å, b = 5.1608 Å, c = 5.1608 Å
α = 129.63°, β = 129.63°, γ = 73.99°
Fractional positions:
Ir 0.7500 0.2500 0.5000
Se 0.0000 0.0000 0.0000
Se 0.2500 0.7500 0.5000
Tl 0.5000 0.5000 0.0000